# 1
Compound: GdBN2
Source: the Alexandria database
Functional: GGA-PBE
Structure: relaxed Values from VASP.

## Properties
As for the space-group type: No. 167. Its excess energy over the best structure of this formula in the dataset is 0 meV per atom. As for the crystal system: trigonal.

Cell and atoms, written as Quantum ESPRESSO input:
```
&SYSTEM
  ibrav = 0, nat = 24, ntyp = 3
/
ATOMIC_SPECIES
N 14.01 N.upf
Gd 157.25 Gd.upf
B 10.81 B.upf
CELL_PARAMETERS angstrom
-4.001 6.051 0.140
1.759 -2.074 6.727
5.954 0.949 -4.036
ATOMIC_POSITIONS crystal
N 0.625 0.750 0.875
N 0.995 0.750 0.505
N 0.495 0.005 0.250
Gd 0.750 0.297 0.203
Gd 0.297 0.203 0.750
N 0.875 0.625 0.750
Gd 0.703 0.797 0.250
N 0.250 0.125 0.375
N 0.750 0.875 0.625
B 0.129 0.250 0.371
N 0.375 0.250 0.125
N 0.005 0.250 0.495
Gd 0.797 0.250 0.703
N 0.125 0.375 0.250
N 0.750 0.505 0.995
N 0.505 0.995 0.750
N 0.250 0.495 0.005
B 0.371 0.129 0.250
B 0.629 0.871 0.750
Gd 0.203 0.750 0.297
Gd 0.250 0.703 0.797
B 0.750 0.629 0.871
B 0.871 0.750 0.629
B 0.250 0.371 0.129
```

---

# 2
Compound: GdBN2
Source: the Alexandria database
Functional: GGA-PBE
Structure: relaxed Values from VASP.

## Properties
As for the space-group type: No. 166. Its excess energy over the best structure of this formula in the dataset is 83 meV per atom. As for the crystal system: trigonal.

Cell and atoms, written as Quantum ESPRESSO input:
```
&SYSTEM
  ibrav = 0, nat = 4, ntyp = 3
/
ATOMIC_SPECIES
Gd 157.25 Gd.upf
B 10.81 B.upf
N 14.01 N.upf
CELL_PARAMETERS angstrom
-1.249 2.927 1.894
-2.767 -0.409 2.426
1.990 -0.096 5.079
ATOMIC_POSITIONS crystal
Gd 0.500 0.500 0.500
B 0.000 0.000 0.000
N 0.911 0.911 0.267
N 0.089 0.089 0.733
```

---

# 3
Compound: GdB6N6
Source: the Alexandria database
Functional: GGA-PBE
Structure: relaxed Values from VASP.

## Properties
Its total energy is -8.24 eV per atom. As for the space-group type: No. 200. As for the crystal system: cubic.

Cell and atoms, written as Quantum ESPRESSO input:
```
&SYSTEM
  ibrav = 0, nat = 13, ntyp = 3
/
ATOMIC_SPECIES
N 14.01 N.upf
B 10.81 B.upf
Gd 157.25 Gd.upf
CELL_PARAMETERS angstrom
-1.080 2.191 3.968
2.507 -3.109 2.399
3.776 2.691 -0.459
ATOMIC_POSITIONS crystal
N 0.000 0.251 0.500
N 0.500 0.000 0.749
B 0.000 0.500 0.738
N 0.500 0.000 0.251
B 0.500 0.738 0.000
B 0.500 0.262 0.000
N 0.000 0.749 0.500
N 0.251 0.500 0.000
B 0.262 0.000 0.500
Gd 0.500 0.500 0.500
B 0.738 0.000 0.500
B 0.000 0.500 0.262
N 0.749 0.500 0.000
```

---

| no. | size of the total moment (μB/f.u.) | V (A^3/atom) |
| --- | --- | --- |
| 1 | 7.0 | 11.639 |
| 2 | 7.0 | 14.902 |
| 3 | 7.2 | 7.781 |